GGA-PBE LaTcPt2, optimized geometry; calculated formation energy = -255 meV per atom
1.0
-2.741 5.511 -2.400
-2.505 -4.445 -0.115
-2.227 1.209 1.598
La Pt Tc
1 2 1
Direct
0.500 0.500 0.000 La
0.000 0.000 0.000 Pt
0.500 0.000 0.500 Pt
0.000 0.500 0.500 Tc